Below is a geometry-optimized ReRu3Rh structure, with properties calculated at the PBE-GGA level.

Calculated values
The distance to the lowest polymorph of the same formula comes out at 0 meV per atom. As for the mass density: 9.94 g/cm³. The value obtained for the calculated total energy is -8.03 eV per atom.

abc: 5.203 5.203 5.181
angles: 59.86 59.86 60.00
Atoms (fractional coordinates):
Ru 0.975 0.475 0.575
Rh 0.975 0.975 0.075
Re 0.475 0.475 0.575
Ru 0.975 0.975 0.575
Ru 0.475 0.975 0.575



Below is a geometry-optimized ReRu2Rh6 structure, with properties calculated at the PBE-GGA level.

Calculated values
As for the mass density: 11.51 g/cm³. The value obtained for the calculated total energy is -7.90 eV per atom.

abc: 5.246 5.246 6.801
angles: 67.31 67.31 60.00
Atoms (fractional coordinates):
Re 0.336 0.336 0.992
Rh 0.269 0.269 0.680
Rh 0.055 0.574 0.316
Rh 0.574 0.055 0.316
Ru 0.725 0.725 0.824
Ru 0.600 0.600 0.199
Rh 0.269 0.782 0.680
Rh 0.055 0.055 0.316
Rh 0.782 0.269 0.680



| no. | formation energy (eV per atom) |
| --- | --- |
| 1 | 1.500 |
| 2 | 0.447 |